LuCuAgSb PBE optimized geometry; space-group type = F-43m; relative energy among the computed polymorphs = 0 meV per atom; raw total energy = -15.97 eV for the cell shown
1.0
0.998 3.368 3.335
-2.266 -0.083 4.280
2.438 -1.208 4.007
Lu Ag Cu Sb
1 1 1 1
direct
0.500 0.500 0.500
0.250 0.250 0.250
0.750 0.750 0.750
0.000 0.000 0.000